A:
Material: KAgMo2
Method: DFT, PBE
State: relaxed

Cell: 6.251 6.251 2.651 Å, 97.30 97.30 127.71°
Element x y z (fractional)
1 K 0.000 0.000 0.000
2 Ag 0.500 0.500 0.000
3 Mo 0.000 0.500 0.500
4 Mo 0.500 0.000 0.500

As for the density of states at the Fermi level: 3.80 states/eV/f.u. The symmetry is C2/m.



B:
Material: KAgMo2
Method: DFT, PBE
State: relaxed

Cell: 6.660 6.660 6.660 Å, 157.14 134.81 51.23°
Element x y z (fractional)
1 K 0.000 0.000 0.000
2 Ag 0.500 0.500 0.000
3 Mo 0.284 0.784 0.500
4 Mo 0.716 0.216 0.500

As for the density of states at the Fermi level: 2.40 states/eV/f.u. The symmetry is Immm.



C:
Material: KAgMo2
Method: DFT, PBE
State: relaxed

Cell: 5.274 2.631 6.056 Å, 90.00 109.67 90.00°
Element x y z (fractional)
1 K 0.000 0.000 0.000
2 Ag 0.500 0.500 0.000
3 Mo 0.000 0.500 0.500
4 Mo 0.500 0.000 0.500

As for the density of states at the Fermi level: 3.39 states/eV/f.u. The symmetry is P2/m.



D:
Material: KAgMo2
Method: DFT, PBE
State: relaxed

Cell: 2.725 2.725 10.592 Å, 90.00 90.00 90.00°
Element x y z (fractional)
1 K 0.000 0.000 0.000
2 Ag 0.500 0.500 0.722
3 Mo 0.000 0.000 0.510
4 Mo 0.500 0.500 0.298

As for the density of states at the Fermi level: 3.40 states/eV/f.u. The symmetry is P4mm.



D comes first in stability; the runner-up is 137 meV per atom higher.



A:
Material: KAgMo2
Method: DFT, PBE
State: relaxed

Cell: 6.048 6.048 6.048 Å, 149.70 123.76 65.22°
Element x y z (fractional)
1 K 0.000 0.000 0.000
2 Ag 0.710 0.210 0.500
3 Mo 0.291 0.791 0.500
4 Mo 0.456 0.456 0.000

As for the density of states at the Fermi level: 2.72 states/eV/f.u. The symmetry is Imm2.



B:
Material: KAgMo2
Method: DFT, PBE
State: relaxed

Cell: 11.201 11.201 11.201 Å, 157.86 157.86 31.51°
Element x y z (fractional)
1 K 0.000 0.000 0.000
2 K 0.750 0.250 0.500
3 Ag 0.250 0.750 0.500
4 Ag 0.500 0.500 0.000
5 Mo 0.275 0.625 0.150
6 Mo 0.375 0.525 0.650
7 Mo 0.475 0.125 0.850
8 Mo 0.875 0.725 0.350

As for the density of states at the Fermi level: 3.72 states/eV/f.u. The symmetry is I-42d.



C:
Material: KAgMo2
Method: DFT, PBE
State: relaxed

Cell: 4.778 4.778 4.778 Å, 60.00 60.00 60.00°
Element x y z (fractional)
1 K 0.000 0.000 0.000
2 Ag 0.750 0.750 0.750
3 Mo 0.250 0.250 0.250
4 Mo 0.500 0.500 0.500

As for the density of states at the Fermi level: 2.27 states/eV/f.u. The symmetry is F-43m.



D:
Material: KAgMo2
Method: DFT, PBE
State: relaxed

Cell: 2.760 4.853 7.271 Å, 90.00 93.23 90.00°
Element x y z (fractional)
1 K 0.000 0.000 0.000
2 Ag 0.500 0.000 0.500
3 Mo 0.073 0.500 0.352
4 Mo 0.927 0.500 0.648

As for the density of states at the Fermi level: 3.10 states/eV/f.u. The symmetry is P2/m.



D comes first in stability; the runner-up is 55 meV per atom higher.



A:
Material: KAgMo2
Method: DFT, PBE
State: relaxed

Cell: 3.835 3.835 5.482 Å, 90.00 90.00 90.00°
Element x y z (fractional)
1 K 0.000 0.000 0.000
2 Ag 0.500 0.500 0.000
3 Mo 0.000 0.500 0.500
4 Mo 0.500 0.000 0.500

As for the density of states at the Fermi level: 2.83 states/eV/f.u. The symmetry is P4/mmm.



B:
Material: KAgMo2
Method: DFT, PBE
State: relaxed

Cell: 2.899 4.670 7.349 Å, 90.00 90.00 90.00°
Element x y z (fractional)
1 K 0.000 0.000 0.000
2 Ag 0.000 0.000 0.500
3 Mo 0.500 0.500 0.355
4 Mo 0.500 0.500 0.645

As for the density of states at the Fermi level: 2.32 states/eV/f.u. The symmetry is Pmmm.



C:
Material: KAgMo2
Method: DFT, PBE
State: relaxed

Cell: 2.685 4.020 8.349 Å, 90.00 90.00 90.00°
Element x y z (fractional)
1 K 0.000 0.000 0.000
2 Ag 0.500 0.500 0.693
3 Mo 0.000 0.000 0.494
4 Mo 0.500 0.500 0.336

As for the density of states at the Fermi level: 3.33 states/eV/f.u. The symmetry is Pmm2.



D:
Material: KAgMo2
Method: DFT, PBE
State: relaxed

Cell: 4.177 4.177 5.346 Å, 90.00 90.00 90.00°
Element x y z (fractional)
1 K 0.000 0.000 0.000
2 Ag 0.000 0.000 0.500
3 Mo 0.500 0.500 0.203
4 Mo 0.500 0.500 0.797

As for the density of states at the Fermi level: 3.69 states/eV/f.u. The symmetry is P4/mmm.



C comes first in stability; the runner-up is 196 meV per atom higher.



A:
Material: KAgMo2
Method: DFT, PBE
State: relaxed

Cell: 2.903 2.903 10.374 Å, 90.00 90.00 112.00°
Element x y z (fractional)
1 K 0.000 0.000 0.000
2 Ag 0.500 0.500 0.718
3 Mo 0.000 0.000 0.486
4 Mo 0.500 0.500 0.300

As for the density of states at the Fermi level: 2.10 states/eV/f.u. The symmetry is Cmm2.



B:
Material: KAgMo2
Method: DFT, PBE
State: relaxed

Cell: 11.334 11.334 11.334 Å, 14.27 14.27 14.27°
Element x y z (fractional)
1 K 0.000 0.000 0.000
2 Ag 0.500 0.500 0.500
3 Mo 0.240 0.240 0.240
4 Mo 0.760 0.760 0.760

As for the density of states at the Fermi level: 3.55 states/eV/f.u. The symmetry is R-3m.



C:
Material: KAgMo2
Method: DFT, PBE
State: relaxed

Cell: 6.126 6.126 2.641 Å, 90.00 90.00 127.26°
Element x y z (fractional)
1 K 0.000 0.000 0.000
2 Ag 0.500 0.500 0.000
3 Mo 0.000 0.500 0.500
4 Mo 0.500 0.000 0.500

As for the density of states at the Fermi level: 4.21 states/eV/f.u. The symmetry is Cmmm.



D:
Material: KAgMo2
Method: DFT, PBE
State: relaxed

Cell: 6.130 6.130 6.130 Å, 143.51 143.51 52.57°
Element x y z (fractional)
1 K 0.000 0.000 0.000
2 Ag 0.500 0.500 0.000
3 Mo 0.250 0.750 0.500
4 Mo 0.750 0.250 0.500

As for the density of states at the Fermi level: 4.85 states/eV/f.u. The symmetry is I4/mmm.



A comes first in stability; the runner-up is 427 meV per atom higher.



A:
Material: KAgMo2
Method: DFT, PBE
State: relaxed

Cell: 3.237 3.237 8.716 Å, 90.00 90.00 90.00°
Element x y z (fractional)
1 K 0.000 0.000 0.000
2 Ag 0.500 0.500 0.694
3 Mo 0.000 0.000 0.475
4 Mo 0.500 0.500 0.340

As for the density of states at the Fermi level: 3.29 states/eV/f.u. The symmetry is P4mm.



B:
Material: KAgMo2
Method: DFT, PBE
State: relaxed

Cell: 4.595 4.595 7.840 Å, 90.68 90.68 33.89°
Element x y z (fractional)
1 K 0.000 0.000 0.000
2 Ag 0.748 0.748 0.317
3 Mo 0.241 0.241 0.667
4 Mo 0.483 0.483 0.517

As for the density of states at the Fermi level: 4.16 states/eV/f.u. The symmetry is Cm.



A comes first in stability; the runner-up is 242 meV per atom higher.



A:
Material: KAgMo2
Method: DFT, PBE
State: relaxed

Cell: 3.706 3.706 7.649 Å, 90.00 90.00 90.00°
Element x y z (fractional)
1 K 0.000 0.000 0.000
2 Ag 0.000 0.000 0.500
3 Mo 0.500 0.500 0.362
4 Mo 0.500 0.500 0.638

As for the density of states at the Fermi level: 3.08 states/eV/f.u. The symmetry is P4/mmm.



B:
Material: KAgMo2
Method: DFT, PBE
State: relaxed

Cell: 2.676 5.172 5.776 Å, 90.00 90.00 90.00°
Element x y z (fractional)
1 K 0.000 0.000 0.000
2 Ag 0.500 0.500 0.000
3 Mo 0.000 0.500 0.500
4 Mo 0.500 0.000 0.500

As for the density of states at the Fermi level: 3.09 states/eV/f.u. The symmetry is Pmmm.



A comes first in stability; the runner-up is 38 meV per atom higher.



A:
Material: KAg3Mo
Method: DFT, PBE
State: relaxed

Cell: 5.400 5.400 5.400 Å, 90.00 90.00 90.00°
Element x y z (fractional)
1 K 0.000 0.000 0.000
2 Ag 0.000 0.500 0.500
3 Ag 0.500 0.000 0.500
4 Ag 0.500 0.500 0.000
5 Mo 0.500 0.500 0.500

As for the density of states at the Fermi level: 1.64 states/eV/f.u. The symmetry is Pm-3m.



B:
Material: KAg3Mo
Method: DFT, PBE
State: relaxed

Cell: 5.315 5.315 5.315 Å, 90.00 90.00 90.00°
Element x y z (fractional)
1 K 0.000 0.000 0.000
2 Ag 0.000 0.000 0.500
3 Ag 0.000 0.500 0.000
4 Ag 0.500 0.000 0.000
5 Mo 0.500 0.500 0.500

As for the density of states at the Fermi level: 2.03 states/eV/f.u. The symmetry is Pm-3m.



A comes first in stability; the runner-up is 817 meV per atom higher.



A:
Material: KAgN2
Method: DFT, PBE
State: relaxed

Cell: 4.507 4.507 4.507 Å, 60.00 60.00 60.00°
Element x y z (fractional)
1 K 0.000 0.000 0.000
2 Ag 0.500 0.500 0.500
3 N 0.250 0.250 0.250
4 N 0.750 0.750 0.750

As for the density of states at the Fermi level: 2.37 states/eV/f.u. The symmetry is Fm-3m.



B:
Material: KAgN2
Method: DFT, PBE
State: relaxed

Cell: 3.579 4.484 11.547 Å, 90.23 98.91 90.00°
Element x y z (fractional)
1 K 0.127 0.496 0.257
2 K 0.873 0.504 0.743
3 Ag 0.000 0.000 0.000
4 Ag 0.500 0.500 0.000
5 N 0.307 0.130 0.609
6 N 0.307 0.874 0.609
7 N 0.693 0.126 0.391
8 N 0.693 0.870 0.391

As for the density of states at the Fermi level: 2.28 states/eV/f.u. The symmetry is P-1.



B comes first in stability; the runner-up is 1808 meV per atom higher.